#one
Compound: LiNiP2Ru
Source: the Alexandria database
Functional: GGA-PBE
Structure: relaxed

CIF file:
```
data_LiNiP2Ru
_chemical_formula_sum 'Li2 Ni2 P4 Ru2'
_cell_length_a 3.835
_cell_length_b 3.835
_cell_length_c 9.513
_cell_angle_alpha 90.00
_cell_angle_beta 90.00
_cell_angle_gamma 90.00
_symmetry_space_group_name_H-M 'I -4 m 2'
_symmetry_Int_Tables_number 119
_symmetry_space_group_name_Hall 'I -4 -2'
loop_
_atom_site_label
_atom_site_fract_x
_atom_site_fract_y
_atom_site_fract_z
Li1 0.000 0.000 0.000
Ni1 0.000 0.500 0.750
P1 0.000 0.000 0.383
Ru1 0.000 0.500 0.250
```

Summary:
Magnetization = 0.00 μB/f.u.
Density of states at the Fermi level = 5.4 states/eV per cell

#two
Compound: LiNiP2Ru
Source: the Alexandria database
Functional: GGA-PBE
Structure: relaxed

CIF file:
```
data_LiNiP2Ru
_chemical_formula_sum 'Li1 Ni1 P2 Ru1'
_cell_length_a 4.228
_cell_length_b 4.228
_cell_length_c 3.703
_cell_angle_alpha 90.00
_cell_angle_beta 90.00
_cell_angle_gamma 90.00
_symmetry_space_group_name_H-M 'P 4/m m m'
_symmetry_Int_Tables_number 123
_symmetry_space_group_name_Hall '-P 4 2'
loop_
_atom_site_label
_atom_site_fract_x
_atom_site_fract_y
_atom_site_fract_z
Li1 0.000 0.000 0.000
Ni1 0.000 0.000 0.500
P1 0.000 0.500 0.000
Ru1 0.500 0.500 0.500
```

Summary:
Magnetization = 1.36 μB/f.u.
Density of states at the Fermi level = 3.4 states/eV per cell

Which structure is the least stable? The one labeled #two.

#one
Compound: Li2Pa2Ni15
Source: the Alexandria database
Functional: GGA-PBE
Structure: relaxed

CIF file:
```
data_Li2Pa2Ni15
_chemical_formula_sum 'Li6 Pa6 Ni45'
_cell_length_a 8.4681
_cell_length_b 8.4681
_cell_length_c 12.3183
_cell_angle_alpha 90.00
_cell_angle_beta 90.00
_cell_angle_gamma 120.00
_symmetry_space_group_name_H-M 'R -3 m'
_symmetry_Int_Tables_number 166
_symmetry_space_group_name_Hall '-R 3 2"'
loop_
_atom_site_label
_atom_site_fract_x
_atom_site_fract_y
_atom_site_fract_z
Li1 0.0000 0.0000 0.1139
Pa1 0.0000 0.0000 0.3695
Ni1 0.0000 0.3126 0.5000
Ni2 0.0000 0.5000 0.0000
Ni3 0.0086 0.5043 0.6595
```

Summary:
Magnetization = 1.29 μB/f.u.
Density of states at the Fermi level = 67.7 states/eV per cell

#two
Compound: Li2Pa2Ni15
Source: the Alexandria database
Functional: GGA-PBE
Structure: relaxed

CIF file:
```
data_Li2Pa2Ni15
_chemical_formula_sum 'Li6 Pa6 Ni45'
_cell_length_a 8.2510
_cell_length_b 8.2510
_cell_length_c 12.2201
_cell_angle_alpha 90.00
_cell_angle_beta 90.00
_cell_angle_gamma 120.00
_symmetry_space_group_name_H-M 'R -3 m'
_symmetry_Int_Tables_number 166
_symmetry_space_group_name_Hall '-R 3 2"'
loop_
_atom_site_label
_atom_site_fract_x
_atom_site_fract_y
_atom_site_fract_z
Li1 0.0000 0.0000 0.0900
Pa1 0.0000 0.0000 0.3420
Ni1 0.0000 0.3164 0.0000
Ni2 0.0000 0.5000 0.5000
Ni3 0.0027 0.5013 0.1595
```

Summary:
Magnetization = 2.24 μB/f.u.
Density of states at the Fermi level = 71.7 states/eV per cell

Which structure is the least stable? The one labeled #one.